{"formula": "InSiIr2", "functional": "GGA-PBE", "state": "relaxed", "lattice": [[7.5450, 0.6488, -0.2261], [6.0096, 4.6080, 0.2261], [-6.6988, -2.8308, 2.1242]], "species": ["In", "Si", "Ir", "Ir"], "fractional_positions": [[0.3038, 0.8038, 0.5000], [0.5503, 0.5503, 0.0000], [0.9688, 0.9688, 0.0000], [0.6771, 0.1771, 0.5000]], "sg": "Imm2", "energy_ev_per_atom": -6.7529, "total_magnetization_mub_per_cell": 0.0, "formation_energy_uncorrected_ev_per_atom": -0.2820}

***

{"formula": "In2SiIr", "functional": "GGA-PBE", "state": "relaxed", "lattice": [[-1.6593, -1.2891, -2.2189], [-0.7238, -2.2998, 1.8776], [-6.7537, 4.2385, 2.5880]], "species": ["In", "In", "Si", "Ir"], "fractional_positions": [[0.0000, 0.0000, 0.9655], [0.5000, 0.5000, 0.2927], [0.5000, 0.5000, 0.6941], [0.0000, 0.0000, 0.5478]], "sg": "P4mm", "energy_ev_per_atom": -5.0091, "total_magnetization_mub_per_cell": 0.0, "formation_energy_uncorrected_ev_per_atom": -0.0689}

***

{"formula": "In2SiIr", "functional": "GGA-PBE", "state": "relaxed", "lattice": [[-1.0421, -1.4729, -3.5136], [3.6383, 1.0362, -1.5135], [3.5807, -3.8179, 0.5385]], "species": ["In", "In", "Si", "Ir"], "fractional_positions": [[0.0000, 0.9770, 0.9216], [0.5000, 0.2772, 0.3201], [0.5000, 0.5570, 0.7625], [0.0000, 0.6888, 0.4957]], "sg": "Pm", "energy_ev_per_atom": -5.0544, "total_magnetization_mub_per_cell": 0.0, "formation_energy_uncorrected_ev_per_atom": -0.1142}

***

{"formula": "InSi2Ir", "functional": "GGA-PBE", "state": "relaxed", "lattice": [[6.3830, -0.0687, -0.0424], [5.1706, 3.7434, -0.0424], [5.1706, 1.6445, 3.3631]], "species": ["Si", "Si", "In", "Ir"], "fractional_positions": [[0.4586, 0.4586, 0.4586], [0.0414, 0.0414, 0.0414], [0.2500, 0.2500, 0.2500], [0.7500, 0.7500, 0.7500]], "sg": "R-3m", "energy_ev_per_atom": -5.6363, "total_magnetization_mub_per_cell": 0.0, "formation_energy_uncorrected_ev_per_atom": -0.0249}

***

{"formula": "InSi2Ir", "functional": "GGA-PBE", "state": "relaxed", "lattice": [[3.7850, 0.0000, 0.0000], [0.0000, 4.1630, 0.0000], [0.0000, 0.0000, 4.1630]], "species": ["Si", "Si", "In", "Ir"], "fractional_positions": [[0.0000, 0.5000, 0.5000], [0.0000, 0.0000, 0.0000], [0.5000, 0.5000, 0.0000], [0.5000, 0.0000, 0.5000]], "sg": "P4/mmm", "energy_ev_per_atom": -5.2041, "total_magnetization_mub_per_cell": 0.0, "formation_energy_uncorrected_ev_per_atom": 0.4073}

***

{"formula": "In2SiIr", "functional": "GGA-PBE", "state": "relaxed", "lattice": [[5.0613, -0.0982, 0.0000], [1.5513, 4.8187, 0.0000], [-3.3063, -2.3603, 3.0206]], "species": ["Ir", "In", "In", "Si"], "fractional_positions": [[0.5000, 0.5000, 0.0000], [0.2500, 0.7500, 0.5000], [0.0000, 0.0000, 0.0000], [0.7500, 0.2500, 0.5000]], "sg": "I-4m2", "energy_ev_per_atom": -4.5932, "total_magnetization_mub_per_cell": 0.0, "formation_energy_uncorrected_ev_per_atom": 0.3470}